No. 1
VASP calculation (PBEsol) on a relaxed structure of MgAl2Pb.

Lattice parameters (Å, degrees): 4.968 4.968 4.968 60.00 60.00 60.00
Element x y z (fractional)
Mg  0.000  0.000  0.000
Al  0.500  0.500  0.500
Al  0.750  0.750  0.750
Pb  0.250  0.250  0.250

Calculated values
Formation energy   0.184 eV/atom
Total moment   0.0 μB per formula unit
Total energy   -3.29 eV/atom

=====

No. 2
VASP calculation (PBEsol) on a relaxed structure of KBeW2.

Lattice parameters (Å, degrees): 4.537 4.537 4.537 60.00 60.00 60.00
Element x y z (fractional)
K  0.000  0.000  0.000
Be  0.750  0.750  0.750
W  0.250  0.250  0.250
W  0.500  0.500  0.500

Calculated values
Formation energy   1.649 eV/atom
Total moment   0.0 μB per formula unit
Total energy   -6.54 eV/atom

=====

No. 3
VASP calculation (PBEsol) on a relaxed structure of Sc2SbPt.

Lattice parameters (Å, degrees): 4.769 4.769 4.769 60.00 60.00 60.00
Element x y z (fractional)
Sc  0.000  0.000  0.000
Sc  0.250  0.250  0.250
Sb  0.500  0.500  0.500
Pt  0.750  0.750  0.750

Calculated values
Uncorrected formation energy   -0.453 eV/atom
Total moment   1.8 μB per formula unit
Total energy   -6.64 eV/atom

=====

No. 4
VASP calculation (PBEsol) on a relaxed structure of KZn3.

Lattice parameters (Å, degrees): 3.948 3.948 7.695 90.00 90.00 120.00
Element x y z (fractional)
K  0.000  0.000  0.000
Zn  0.000  0.000  0.500
Zn  0.333  0.667  0.337
Zn  0.333  0.667  0.663

Calculated values
Formation energy   0.320 eV/atom
Total moment   0.0 μB per formula unit
Total energy   -1.15 eV/atom

=====

No. 5
VASP calculation (PBEsol) on a relaxed structure of SbAuCI2.

Lattice parameters (Å, degrees): 5.566 5.566 5.261 90.00 90.00 90.00
Element x y z (fractional)
Sb  0.000  0.000  0.000
Au  0.000  0.000  0.500
C  0.500  0.500  0.000
I  0.000  0.500  0.500
I  0.500  0.000  0.500

Calculated values
Uncorrected formation energy   1.802 eV/atom
Total moment   2.2 μB per formula unit
Total energy   -2.53 eV/atom

=====

No. 6
VASP calculation (PBEsol) on a relaxed structure of InPOsS2.

Lattice parameters (Å, degrees): 4.792 4.792 4.911 90.00 90.00 90.00
Element x y z (fractional)
In  0.000  0.000  0.000
P  0.000  0.000  0.500
Os  0.500  0.500  0.500
S  0.000  0.500  0.000
S  0.500  0.000  0.000

Calculated values
Uncorrected formation energy   1.873 eV/atom
Total moment   3.1 μB per formula unit
Total energy   -4.08 eV/atom